--- 1 ---
# GeSbRu (PBE-GGA, optimized geometry)
# SG   C2/m (12)
# Size of the total moment   0.0 μB/f.u.
data_GeSbRu
_cell_length_a 6.238
_cell_length_b 3.095
_cell_length_c 13.787
_cell_angle_alpha 90.00
_cell_angle_beta 115.33
_cell_angle_gamma 90.00
_space_group_name_H-M_alt 'P 1'
_space_group_IT_number 1
loop_
_space_group_symop_operation_xyz
'x,y,z'
loop_
_atom_site_label
_atom_site_type_symbol
_atom_site_fract_x
_atom_site_fract_y
_atom_site_fract_z
_atom_site_occupancy
Sb1 Sb 0.261 0.000 0.812 1
Ge1 Ge 0.257 0.000 0.064 1
Ru1 Ru 0.961 0.000 0.596 1
Ru2 Ru 0.039 0.000 0.404 1
Ru3 Ru 0.039 0.500 0.904 1
Ge2 Ge 0.743 0.500 0.436 1
Ge3 Ge 0.257 0.500 0.564 1
Sb2 Sb 0.739 0.000 0.188 1
Sb3 Sb 0.261 0.500 0.312 1
Sb4 Sb 0.739 0.500 0.688 1
Ge4 Ge 0.743 0.000 0.936 1
Ru4 Ru 0.961 0.500 0.096 1



--- 2 ---
# GeSbRu (PBE-GGA, optimized geometry)
# SG   Immm (71)
# Size of the total moment   0.0 μB/f.u.
data_GeSbRu
_cell_length_a 3.529
_cell_length_b 5.127
_cell_length_c 12.310
_cell_angle_alpha 90.00
_cell_angle_beta 90.00
_cell_angle_gamma 90.00
_space_group_name_H-M_alt 'P 1'
_space_group_IT_number 1
loop_
_space_group_symop_operation_xyz
'x,y,z'
loop_
_atom_site_label
_atom_site_type_symbol
_atom_site_fract_x
_atom_site_fract_y
_atom_site_fract_z
_atom_site_occupancy
Sb1 Sb 0.000 0.500 0.212 1
Ru1 Ru 0.000 0.000 0.115 1
Sb2 Sb 0.000 0.500 0.788 1
Ge1 Ge 0.500 0.745 0.000 1
Ge2 Ge 0.000 0.755 0.500 1
Ge3 Ge 0.500 0.255 0.000 1
Ru2 Ru 0.000 0.000 0.885 1
Sb3 Sb 0.500 0.000 0.288 1
Sb4 Sb 0.500 0.000 0.712 1
Ru3 Ru 0.500 0.500 0.385 1
Ru4 Ru 0.500 0.500 0.615 1
Ge4 Ge 0.000 0.245 0.500 1



--- 3 ---
# GeSbRu (PBE-GGA, optimized geometry)
# SG   C2/c (15)
# Size of the total moment   0.0 μB/f.u.
data_GeSbRu
_cell_length_a 4.381
_cell_length_b 4.381
_cell_length_c 6.230
_cell_angle_alpha 90.08
_cell_angle_beta 90.07
_cell_angle_gamma 90.00
_space_group_name_H-M_alt 'P 1'
_space_group_IT_number 1
loop_
_space_group_symop_operation_xyz
'x,y,z'
loop_
_atom_site_label
_atom_site_type_symbol
_atom_site_fract_x
_atom_site_fract_y
_atom_site_fract_z
_atom_site_occupancy
Sb1 Sb 0.501 0.999 0.250 1
Sb2 Sb 0.499 0.001 0.750 1
Ru1 Ru 0.500 0.500 0.500 1
Ge1 Ge 0.000 0.500 0.750 1
Ge2 Ge 0.000 0.500 0.250 1
Ru2 Ru 0.000 0.000 0.000 1



--- 4 ---
# GeSbRu (PBE-GGA, optimized geometry)
# SG   Cm (8)
# Size of the total moment   0.0 μB/f.u.
data_GeSbRu
_cell_length_a 5.712
_cell_length_b 3.189
_cell_length_c 12.806
_cell_angle_alpha 90.00
_cell_angle_beta 99.03
_cell_angle_gamma 90.00
_space_group_name_H-M_alt 'P 1'
_space_group_IT_number 1
loop_
_space_group_symop_operation_xyz
'x,y,z'
loop_
_atom_site_label
_atom_site_type_symbol
_atom_site_fract_x
_atom_site_fract_y
_atom_site_fract_z
_atom_site_occupancy
Sb1 Sb 0.470 0.500 0.517 1
Ge1 Ge 0.788 0.500 0.367 1
Ru1 Ru 0.518 0.500 0.191 1
Ru2 Ru 0.105 0.500 0.952 1
Sb2 Sb 0.969 0.500 0.138 1
Sb3 Sb 0.470 0.000 0.017 1
Ge2 Ge 0.788 0.000 0.867 1
Ru3 Ru 0.518 0.000 0.691 1
Sb4 Sb 0.969 0.000 0.638 1
Ge3 Ge 0.282 0.500 0.788 1
Ru4 Ru 0.105 0.000 0.452 1
Ge4 Ge 0.282 0.000 0.288 1



Tell me which of them is the least stable. Sure, it is 3.



--- 1 ---
# GeSbRu2 (PBE-GGA, optimized geometry)
# SG   I-42d (122)
# Size of the total moment   0.0 μB/f.u.
data_GeSbRu2
_cell_length_a 5.754
_cell_length_b 5.754
_cell_length_c 7.006
_cell_angle_alpha 65.76
_cell_angle_beta 65.76
_cell_angle_gamma 90.00
_space_group_name_H-M_alt 'P 1'
_space_group_IT_number 1
loop_
_space_group_symop_operation_xyz
'x,y,z'
loop_
_atom_site_label
_atom_site_type_symbol
_atom_site_fract_x
_atom_site_fract_y
_atom_site_fract_z
_atom_site_occupancy
Sb1 Sb 0.000 0.000 0.000 1
Ru1 Ru 0.375 0.400 0.750 1
Ru2 Ru 0.600 0.125 0.250 1
Sb2 Sb 0.750 0.250 0.500 1
Ru3 Ru 0.875 0.850 0.750 1
Ru4 Ru 0.150 0.625 0.250 1
Ge1 Ge 0.500 0.500 0.000 1
Ge2 Ge 0.250 0.750 0.500 1



--- 2 ---
# GeSbRu2 (PBE-GGA, optimized geometry)
# SG   Fm-3m (225)
# Size of the total moment   0.1 μB/f.u.
data_GeSbRu2
_cell_length_a 4.471
_cell_length_b 4.471
_cell_length_c 4.471
_cell_angle_alpha 60.00
_cell_angle_beta 60.00
_cell_angle_gamma 60.00
_space_group_name_H-M_alt 'P 1'
_space_group_IT_number 1
loop_
_space_group_symop_operation_xyz
'x,y,z'
loop_
_atom_site_label
_atom_site_type_symbol
_atom_site_fract_x
_atom_site_fract_y
_atom_site_fract_z
_atom_site_occupancy
Ru1 Ru 0.750 0.750 0.750 1
Ru2 Ru 0.250 0.250 0.250 1
Ge1 Ge 0.000 0.000 0.000 1
Sb1 Sb 0.500 0.500 0.500 1



Tell me which of them is the least stable. Sure, it is 1.



--- 1 ---
# GeSb3Ru (PBE-GGA, optimized geometry)
# SG   Pm-3m (221)
# Size of the total moment   0.0 μB/f.u.
data_GeSb3Ru
_cell_length_a 5.168
_cell_length_b 5.168
_cell_length_c 5.168
_cell_angle_alpha 90.00
_cell_angle_beta 90.00
_cell_angle_gamma 90.00
_space_group_name_H-M_alt 'P 1'
_space_group_IT_number 1
loop_
_space_group_symop_operation_xyz
'x,y,z'
loop_
_atom_site_label
_atom_site_type_symbol
_atom_site_fract_x
_atom_site_fract_y
_atom_site_fract_z
_atom_site_occupancy
Sb1 Sb 0.000 0.500 0.000 1
Sb2 Sb 0.500 0.000 0.000 1
Sb3 Sb 0.000 0.000 0.500 1
Ge1 Ge 0.000 0.000 0.000 1
Ru1 Ru 0.500 0.500 0.500 1



--- 2 ---
# GeSb3Ru (PBE-GGA, optimized geometry)
# SG   Pm-3m (221)
# Size of the total moment   0.0 μB/f.u.
data_GeSb3Ru
_cell_length_a 5.128
_cell_length_b 5.128
_cell_length_c 5.128
_cell_angle_alpha 90.00
_cell_angle_beta 90.00
_cell_angle_gamma 90.00
_space_group_name_H-M_alt 'P 1'
_space_group_IT_number 1
loop_
_space_group_symop_operation_xyz
'x,y,z'
loop_
_atom_site_label
_atom_site_type_symbol
_atom_site_fract_x
_atom_site_fract_y
_atom_site_fract_z
_atom_site_occupancy
Ge1 Ge 0.500 0.500 0.500 1
Sb1 Sb 0.500 0.000 0.000 1
Sb2 Sb 0.000 0.500 0.000 1
Ru1 Ru 0.000 0.000 0.000 1
Sb3 Sb 0.000 0.000 0.500 1



Tell me which of them is the least stable. Sure, it is 1.



--- 1 ---
# GeRuSe3 (PBE-GGA, optimized geometry)
# SG   Pm-3m (221)
# Size of the total moment   0.0 μB/f.u.
data_GeRuSe3
_cell_length_a 4.875
_cell_length_b 4.875
_cell_length_c 4.875
_cell_angle_alpha 90.00
_cell_angle_beta 90.00
_cell_angle_gamma 90.00
_space_group_name_H-M_alt 'P 1'
_space_group_IT_number 1
loop_
_space_group_symop_operation_xyz
'x,y,z'
loop_
_atom_site_label
_atom_site_type_symbol
_atom_site_fract_x
_atom_site_fract_y
_atom_site_fract_z
_atom_site_occupancy
Se1 Se 0.000 0.500 0.000 1
Ge1 Ge 0.500 0.500 0.500 1
Se2 Se 0.000 0.000 0.500 1
Se3 Se 0.500 0.000 0.000 1
Ru1 Ru 0.000 0.000 0.000 1



--- 2 ---
# GeRuSe3 (PBE-GGA, optimized geometry)
# SG   Pm-3m (221)
# Size of the total moment   3.4 μB/f.u.
data_GeRuSe3
_cell_length_a 4.944
_cell_length_b 4.944
_cell_length_c 4.944
_cell_angle_alpha 90.00
_cell_angle_beta 90.00
_cell_angle_gamma 90.00
_space_group_name_H-M_alt 'P 1'
_space_group_IT_number 1
loop_
_space_group_symop_operation_xyz
'x,y,z'
loop_
_atom_site_label
_atom_site_type_symbol
_atom_site_fract_x
_atom_site_fract_y
_atom_site_fract_z
_atom_site_occupancy
Ge1 Ge 0.000 0.000 0.000 1
Se1 Se 0.000 0.000 0.500 1
Ru1 Ru 0.500 0.500 0.500 1
Se2 Se 0.000 0.500 0.000 1
Se3 Se 0.500 0.000 0.000 1



Tell me which of them is the least stable. Sure, it is 2.



--- 1 ---
# GeRu2Se (PBE-GGA, optimized geometry)
# SG   I-42d (122)
# Size of the total moment   0.0 μB/f.u.
data_GeRu2Se
_cell_length_a 5.614
_cell_length_b 5.614
_cell_length_c 6.818
_cell_angle_alpha 65.69
_cell_angle_beta 65.69
_cell_angle_gamma 90.00
_space_group_name_H-M_alt 'P 1'
_space_group_IT_number 1
loop_
_space_group_symop_operation_xyz
'x,y,z'
loop_
_atom_site_label
_atom_site_type_symbol
_atom_site_fract_x
_atom_site_fract_y
_atom_site_fract_z
_atom_site_occupancy
Se1 Se 0.000 0.000 0.000 1
Ru1 Ru 0.375 0.370 0.750 1
Se2 Se 0.750 0.250 0.500 1
Ge1 Ge 0.250 0.750 0.500 1
Ru2 Ru 0.630 0.125 0.250 1
Ru3 Ru 0.875 0.880 0.750 1
Ge2 Ge 0.500 0.500 0.000 1
Ru4 Ru 0.120 0.625 0.250 1



--- 2 ---
# GeRu2Se (PBE-GGA, optimized geometry)
# SG   Fm-3m (225)
# Size of the total moment   0.0 μB/f.u.
data_GeRu2Se
_cell_length_a 4.402
_cell_length_b 4.402
_cell_length_c 4.402
_cell_angle_alpha 60.00
_cell_angle_beta 60.00
_cell_angle_gamma 60.00
_space_group_name_H-M_alt 'P 1'
_space_group_IT_number 1
loop_
_space_group_symop_operation_xyz
'x,y,z'
loop_
_atom_site_label
_atom_site_type_symbol
_atom_site_fract_x
_atom_site_fract_y
_atom_site_fract_z
_atom_site_occupancy
Ru1 Ru 0.250 0.250 0.250 1
Ru2 Ru 0.750 0.750 0.750 1
Se1 Se 0.500 0.500 0.500 1
Ge1 Ge 0.000 0.000 0.000 1



Tell me which of them is the least stable. Sure, it is 1.



--- 1 ---
# Si2GeRu2 (PBE-GGA, optimized geometry)
# SG   P4/mbm (127)
# Size of the total moment   0.0 μB/f.u.
data_Si2GeRu2
_cell_length_a 7.149
_cell_length_b 7.149
_cell_length_c 2.834
_cell_angle_alpha 90.00
_cell_angle_beta 90.00
_cell_angle_gamma 90.00
_space_group_name_H-M_alt 'P 1'
_space_group_IT_number 1
loop_
_space_group_symop_operation_xyz
'x,y,z'
loop_
_atom_site_label
_atom_site_type_symbol
_atom_site_fract_x
_atom_site_fract_y
_atom_site_fract_z
_atom_site_occupancy
Ru1 Ru 0.347 0.153 0.500 1
Si1 Si 0.363 0.863 0.000 1
Si2 Si 0.637 0.137 0.000 1
Ge1 Ge 0.500 0.500 0.000 1
Ru2 Ru 0.847 0.347 0.500 1
Ge2 Ge 0.000 0.000 0.000 1
Ru3 Ru 0.653 0.847 0.500 1
Ru4 Ru 0.153 0.653 0.500 1
Si3 Si 0.863 0.637 0.000 1
Si4 Si 0.137 0.363 0.000 1



--- 2 ---
# Si2GeRu2 (PBE-GGA, optimized geometry)
# SG   I4/mmm (139)
# Size of the total moment   0.0 μB/f.u.
data_Si2GeRu2
_cell_length_a 3.511
_cell_length_b 3.511
_cell_length_c 6.513
_cell_angle_alpha 74.36
_cell_angle_beta 74.36
_cell_angle_gamma 90.00
_space_group_name_H-M_alt 'P 1'
_space_group_IT_number 1
loop_
_space_group_symop_operation_xyz
'x,y,z'
loop_
_atom_site_label
_atom_site_type_symbol
_atom_site_fract_x
_atom_site_fract_y
_atom_site_fract_z
_atom_site_occupancy
Ru1 Ru 0.614 0.614 0.772 1
Si1 Si 0.750 0.250 0.500 1
Ge1 Ge 0.000 0.000 0.000 1
Si2 Si 0.250 0.750 0.500 1
Ru2 Ru 0.386 0.386 0.228 1



Tell me which of them is the least stable. Sure, it is 1.



--- 1 ---
# Sn3GeRu (PBE-GGA, optimized geometry)
# SG   Pm-3m (221)
# Size of the total moment   0.5 μB/f.u.
data_Sn3GeRu
_cell_length_a 5.155
_cell_length_b 5.155
_cell_length_c 5.155
_cell_angle_alpha 90.00
_cell_angle_beta 90.00
_cell_angle_gamma 90.00
_space_group_name_H-M_alt 'P 1'
_space_group_IT_number 1
loop_
_space_group_symop_operation_xyz
'x,y,z'
loop_
_atom_site_label
_atom_site_type_symbol
_atom_site_fract_x
_atom_site_fract_y
_atom_site_fract_z
_atom_site_occupancy
Ge1 Ge 0.500 0.500 0.500 1
Sn1 Sn 0.500 0.000 0.000 1
Sn2 Sn 0.000 0.500 0.000 1
Ru1 Ru 0.000 0.000 0.000 1
Sn3 Sn 0.000 0.000 0.500 1



--- 2 ---
# Sn3GeRu (PBE-GGA, optimized geometry)
# SG   Pm-3m (221)
# Size of the total moment   2.0 μB/f.u.
data_Sn3GeRu
_cell_length_a 5.264
_cell_length_b 5.264
_cell_length_c 5.264
_cell_angle_alpha 90.00
_cell_angle_beta 90.00
_cell_angle_gamma 90.00
_space_group_name_H-M_alt 'P 1'
_space_group_IT_number 1
loop_
_space_group_symop_operation_xyz
'x,y,z'
loop_
_atom_site_label
_atom_site_type_symbol
_atom_site_fract_x
_atom_site_fract_y
_atom_site_fract_z
_atom_site_occupancy
Sn1 Sn 0.000 0.000 0.500 1
Sn2 Sn 0.500 0.000 0.000 1
Ru1 Ru 0.500 0.500 0.500 1
Sn3 Sn 0.000 0.500 0.000 1
Ge1 Ge 0.000 0.000 0.000 1



Tell me which of them is the least stable. Sure, it is 2.



--- 1 ---
# SnGeRu3 (PBE-GGA, optimized geometry)
# SG   Pm-3m (221)
# Size of the total moment   4.3 μB/f.u.
data_SnGeRu3
_cell_length_a 4.901
_cell_length_b 4.901
_cell_length_c 4.901
_cell_angle_alpha 90.00
_cell_angle_beta 90.00
_cell_angle_gamma 90.00
_space_group_name_H-M_alt 'P 1'
_space_group_IT_number 1
loop_
_space_group_symop_operation_xyz
'x,y,z'
loop_
_atom_site_label
_atom_site_type_symbol
_atom_site_fract_x
_atom_site_fract_y
_atom_site_fract_z
_atom_site_occupancy
Ru1 Ru 0.500 0.000 0.000 1
Ru2 Ru 0.000 0.500 0.000 1
Ru3 Ru 0.000 0.000 0.500 1
Ge1 Ge 0.500 0.500 0.500 1
Sn1 Sn 0.000 0.000 0.000 1



--- 2 ---
# SnGeRu3 (PBE-GGA, optimized geometry)
# SG   Pm-3m (221)
# Size of the total moment   0.0 μB/f.u.
data_SnGeRu3
_cell_length_a 4.547
_cell_length_b 4.547
_cell_length_c 4.547
_cell_angle_alpha 90.00
_cell_angle_beta 90.00
_cell_angle_gamma 90.00
_space_group_name_H-M_alt 'P 1'
_space_group_IT_number 1
loop_
_space_group_symop_operation_xyz
'x,y,z'
loop_
_atom_site_label
_atom_site_type_symbol
_atom_site_fract_x
_atom_site_fract_y
_atom_site_fract_z
_atom_site_occupancy
Sn1 Sn 0.500 0.500 0.500 1
Ge1 Ge 0.000 0.000 0.000 1
Ru1 Ru 0.000 0.500 0.000 1
Ru2 Ru 0.500 0.000 0.000 1
Ru3 Ru 0.000 0.000 0.500 1



Tell me which of them is the least stable. Sure, it is 1.